Record 1
The following is a DFT calculation (GGA-PBE) of an optimized crystal structure of LiH2Au2.

a = 3.5259 Å, b = 3.5259 Å, c = 5.3267 Å
α = 70.67°, β = 70.67°, γ = 90.00°
With the nearest neighbours (Å) after each atom.
Fractional coordinates of all 5 atoms:
1 H 0.7500 0.2500 0.5000  4 Au 2.02
2 H 0.2500 0.7500 0.5000  4 Au 2.02
3 Au 0.3537 0.3537 0.2925  4 H 2.02
4 Au 0.6463 0.6463 0.7075  4 H 2.02
5 Li 0.0000 0.0000 0.0000  8 Au 2.85, 8 H 2.94

Properties
spin magnetization: 0.00 μB per atom
calculated total energy: -3.0027 eV/atom

Record 2
The following is a DFT calculation (GGA-PBE) of an optimized crystal structure of Li3HAu.

a = 10.7331 Å, b = 7.3159 Å, c = 7.3159 Å
α = 80.38°, β = 125.05°, γ = 54.95°
With the nearest neighbours (Å) after each atom.
Fractional coordinates of all 20 atoms:
1 H 0.7500 0.1851 0.6851  6 Li 1.98-2.02
2 H 0.2500 0.8149 0.3149  6 Li 1.98-2.02
3 H 0.7500 0.4366 0.9366  6 Li 1.93-2.04
4 H 0.2500 0.5634 0.0634  6 Li 1.93-2.04
5 Au 0.1121 0.4571 0.3971  8 Li 2.64-2.85, 2 Au 2.94
6 Au 0.3879 0.8971 0.9571  8 Li 2.64-2.85, 2 Au 2.94
7 Au 0.8879 0.5429 0.6029  8 Li 2.64-2.85, 2 Au 2.94
8 Au 0.6121 0.1029 0.0429  8 Li 2.64-2.85, 2 Au 2.94
9 Li 0.4274 0.3887 0.4886  3 H 1.98-2.01
10 Li 0.0726 0.9886 0.8887  3 H 1.98-2.01
11 Li 0.5726 0.6113 0.5114  3 H 1.98-2.01
12 Li 0.9274 0.0114 0.1113  3 H 1.98-2.01
13 Li 0.0596 0.2525 0.1242  2 H 1.93-2.02
14 Li 0.4404 0.6242 0.7525  2 H 1.93-2.02
15 Li 0.9404 0.7475 0.8758  2 H 1.93-2.02
16 Li 0.5596 0.3758 0.2475  2 H 1.93-2.02
17 Li 0.6003 0.8412 0.8180  1 H 2.04
18 Li 0.8997 0.3180 0.3412  1 H 2.04
19 Li 0.3997 0.1588 0.1820  1 H 2.04
20 Li 0.1003 0.6820 0.6588  1 H 2.04

Properties
spin magnetization: 0.00 μB per atom
calculated total energy: -2.8744 eV/atom

Record 3
The following is a DFT calculation (GGA-PBE) of an optimized crystal structure of Li3HAu.

a = 3.7037 Å, b = 3.7037 Å, c = 6.6693 Å
α = 90.00°, β = 90.00°, γ = 90.00°
With the nearest neighbours (Å) after each atom.
Fractional coordinates of all 5 atoms:
1 H 0.5000 0.5000 0.5333  4 Li 2.03
2 Au 0.0000 0.0000 0.1472  5 Li 2.54-2.55
3 Li 0.0000 0.0000 0.7656  1 Au 2.55
4 Li 0.5000 0.0000 0.4088  2 H 2.03
5 Li 0.0000 0.5000 0.4088  2 H 2.03

Properties
spin magnetization: 0.14 μB per atom
calculated total energy: -2.5104 eV/atom